Density functional theory data (PBE) for GaCo after structural relaxation.

Output
Magnetic moment   0.0 μB per formula unit
VASP energy   -9.7 eV/cell

Cell lengths 3.398, 3.398, 3.398 Å; angles 60.00, 60.00, 60.00 degrees
Positions (direct):
Co1 0.000 0.000 0.000
Ga1 0.500 0.500 0.500